Record 1
A plane-wave DFT calculation with PBE-GGA was carried out for an optimized crystal structure of MgCd2B.

Calculated values
Total magnetization in μB/atom: 0.000
Mass density in g/cm3: 5.925
E_form in meV/atom: 812

a b c (Å): 4.688 4.688 4.688
angles (deg): 60.00 60.00 60.00
Positions (direct):
Cd 0.750 0.750 0.750
Mg 0.500 0.500 0.500
Cd 0.250 0.250 0.250
B 0.000 0.000 0.000

Record 2
A plane-wave DFT calculation with PBE-GGA was carried out for an optimized crystal structure of PuU2OsC4.

Calculated values
Total magnetization in μB/atom: 0.465
Mass density in g/cm3: 13.487
E_form in meV/atom: 33

a b c (Å): 3.491 6.051 11.668
angles (deg): 90.00 90.00 106.77
Last column: magnetic moment on the atom in μB.
Positions (direct):
U 0.630 0.260 0.453  -0.45
C 0.000 0.000 0.000  0.01
C 0.263 0.527 0.121  -0.03
C 0.000 0.000 0.500  0.01
C 0.549 0.099 0.250  -0.06
Pu 0.890 0.779 0.250  4.77
U 0.630 0.260 0.047  -0.45
Pu 0.110 0.221 0.750  4.77
C 0.737 0.473 0.621  -0.03
Os 0.851 0.702 0.750  -0.07
C 0.263 0.527 0.379  -0.03
Os 0.149 0.298 0.250  -0.07
U 0.370 0.740 0.547  -0.45
C 0.737 0.473 0.879  -0.03
U 0.370 0.740 0.953  -0.45
C 0.451 0.901 0.750  -0.06

Record 3
A plane-wave DFT calculation with PBE-GGA was carried out for an optimized crystal structure of Ba2NaAcO4.

Calculated values
Total magnetization in μB/atom: 0.000
Mass density in g/cm3: 6.123
E in eV/atom: -6.090

a b c (Å): 3.909 6.481 6.615
angles (deg): 107.72 90.00 90.00
Positions (direct):
O 0.500 0.273 0.247
O 0.000 0.266 0.774
O 0.000 0.734 0.226
Ac 0.500 0.500 0.000
Ba 0.000 0.500 0.500
Na 0.000 0.000 0.000
Ba 0.500 0.000 0.500
O 0.500 0.727 0.753

Record 4
A plane-wave DFT calculation with PBE-GGA was carried out for an optimized crystal structure of AsP2Ru.

Calculated values
Total magnetization in μB/atom: 0.000
Mass density in g/cm3: 6.298
E_form in meV/atom: 346

a b c (Å): 2.837 2.837 8.929
angles (deg): 90.00 90.00 119.16
Positions (direct):
As 0.500 0.500 0.750
P 0.000 0.000 0.034
P 0.000 0.000 0.466
Ru 0.500 0.500 0.250

Record 5
A plane-wave DFT calculation with PBE-GGA was carried out for an optimized crystal structure of La2Y5Ho2.

Calculated values
Total magnetization in μB/atom: 0.000
Mass density in g/cm3: 5.622
E_form in meV/atom: 199

a b c (Å): 5.420 8.863 9.530
angles (deg): 93.77 111.41 127.61
Positions (direct):
Ho 0.844 0.556 0.112
Ho 0.156 0.444 0.888
La 0.691 0.231 0.463
Y 0.734 0.599 0.716
Y 0.746 0.883 0.284
Y 0.254 0.117 0.716
La 0.309 0.769 0.537
Y 0.000 0.000 0.000
Y 0.266 0.401 0.284

Record 6
A plane-wave DFT calculation with PBE-GGA was carried out for an optimized crystal structure of Nd3GdH.

Calculated values
Total magnetization in μB/atom: 1.428
Mass density in g/cm3: 7.157
E in eV/atom: -6.522

a b c (Å): 5.157 5.157 5.157
angles (deg): 90.00 90.00 90.00
Last column: magnetic moment on the atom in μB.
Positions (direct):
Gd 0.500 0.500 0.500  7.14
Nd 0.000 0.500 0.000  -0.04
Nd 0.500 0.000 0.000  -0.04
Nd 0.000 0.000 0.500  -0.04
H 0.000 0.000 0.000  0.00

Record 7
A plane-wave DFT calculation with PBE-GGA was carried out for an optimized crystal structure of AgTeO2.

Calculated values
Total magnetization in μB/atom: 0.000
Mass density in g/cm3: 6.327
E in eV/atom: -4.279

a b c (Å): 6.552 6.552 6.552
angles (deg): 32.01 32.01 32.01
Positions (direct):
O 0.114 0.114 0.114
Ag 0.000 0.000 0.000
O 0.886 0.886 0.886
Te 0.500 0.500 0.500

Record 8
A plane-wave DFT calculation with PBE-GGA was carried out for an optimized crystal structure of Zr4BeTe2.

Calculated values
Total magnetization in μB/atom: 0.000
Mass density in g/cm3: 6.710
E in eV/atom: -6.601

a b c (Å): 3.634 5.064 18.125
angles (deg): 90.00 90.00 111.03
Positions (direct):
Te 0.804 0.609 0.585
Be 0.524 0.048 0.750
Te 0.196 0.391 0.415
Zr 0.813 0.626 0.750
Zr 0.500 0.000 0.500
Zr 0.910 0.820 0.152
Zr 0.500 0.000 0.000
Zr 0.090 0.180 0.848
Zr 0.090 0.180 0.652
Te 0.804 0.609 0.915
Be 0.476 0.952 0.250
Zr 0.910 0.820 0.348
Zr 0.187 0.374 0.250
Te 0.196 0.391 0.085

Record 9
A plane-wave DFT calculation with PBE-GGA was carried out for an optimized crystal structure of ZrSbP3.

Calculated values
Total magnetization in μB/atom: 0.000
Mass density in g/cm3: 4.021
E in eV/atom: -5.312

a b c (Å): 5.017 5.017 5.017
angles (deg): 90.00 90.00 90.00
Positions (direct):
Sb 0.500 0.500 0.500
Zr 0.000 0.000 0.000
P 0.000 0.000 0.500
P 0.000 0.500 0.000
P 0.500 0.000 0.000

Record 10
A plane-wave DFT calculation with PBE-GGA was carried out for an optimized crystal structure of Ce2BrCl3.

Calculated values
Total magnetization in μB/atom: 0.664
Mass density in g/cm3: 4.203
E in eV/atom: -5.022

a b c (Å): 3.997 9.156 10.529
angles (deg): 84.40 79.06 77.39
Last column: magnetic moment on the atom in μB.
Positions (direct):
Cl 0.331 0.291 0.047  -0.01
Ce 0.139 0.591 0.131  1.44
Cl 0.054 0.113 0.779  -0.01
Cl 0.230 0.130 0.410  -0.01
Ce 0.861 0.409 0.869  1.44
Cl 0.946 0.887 0.221  -0.01
Cl 0.669 0.709 0.953  -0.01
Ce 0.601 0.205 0.593  1.38
Br 0.599 0.469 0.333  0.00
Ce 0.399 0.795 0.407  1.38
Cl 0.770 0.870 0.590  -0.01
Br 0.401 0.531 0.667  0.00

Record 11
A plane-wave DFT calculation with PBE-GGA was carried out for an optimized crystal structure of Ho3In2Hg6.

Calculated values
Total magnetization in μB/atom: 0.000
Mass density in g/cm3: 10.918
E_form in meV/atom: -178

a b c (Å): 4.251 4.251 16.499
angles (deg): 97.40 97.40 90.00
Positions (direct):
In 0.639 0.639 0.278
Hg 0.070 0.570 0.140
Ho 0.175 0.175 0.351
Hg 0.730 0.730 0.460
In 0.361 0.361 0.722
Hg 0.270 0.270 0.540
Hg 0.430 0.930 0.860
Ho 0.000 0.000 0.000
Hg 0.930 0.430 0.860
Hg 0.570 0.070 0.140
Ho 0.825 0.825 0.649

Record 12
A plane-wave DFT calculation with PBE-GGA was carried out for an optimized crystal structure of Dy2PuTh3Se6.

Calculated values
Total magnetization in μB/atom: 0.430
Mass density in g/cm3: 9.542
E in eV/atom: -7.169

a b c (Å): 4.075 8.450 9.419
angles (deg): 106.74 102.49 90.00
Last column: magnetic moment on the atom in μB.
Positions (direct):
Dy 0.835 0.668 0.669  0.02
Th 0.166 0.836 0.333  -0.07
Dy 0.165 0.332 0.331  0.02
Se 0.665 0.094 0.329  -0.01
Th 0.834 0.164 0.667  -0.07
Se 0.671 0.576 0.341  0.00
Se 0.997 0.756 0.993  -0.04
Th 0.500 0.500 0.000  -0.10
Se 0.329 0.424 0.659  0.00
Pu 0.500 0.000 0.000  5.37
Se 0.003 0.244 0.007  -0.04
Se 0.335 0.906 0.671  -0.01